i:
Density functional theory data (PBE-GGA) for a relaxed Pm2PrTe crystal. Values from VASP.

Results
**Theoretical density**: 7.82 Mg/m³
**Symmetry**: P4/mmm, No. 123
**Magnetization**: 0.00 Bohr magnetons per cell

Geometry as Quantum ESPRESSO input:
```
&SYSTEM
  ibrav = 0, nat = 4, ntyp = 3
/
ATOMIC_SPECIES
Pm 145.00 Pm.upf
Pr 140.91 Pr.upf
Te 127.60 Te.upf
CELL_PARAMETERS angstrom
4.9078 0.0000 0.0000
0.0000 4.9078 0.0000
0.0000 0.0000 4.9269
ATOMIC_POSITIONS crystal
Pm 0.0000 0.5000 0.0000
Pm 0.5000 0.0000 0.0000
Pr 0.0000 0.0000 0.5000
Te 0.5000 0.5000 0.5000
```

=====

ii:
Density functional theory data (PBE-GGA) for a relaxed Pm2PrTe crystal. Values from VASP.

Results
**Theoretical density**: 6.64 Mg/m³
**Symmetry**: R3m, No. 160
**Magnetization**: 0.19 Bohr magnetons per cell

Geometry as Quantum ESPRESSO input:
```
&SYSTEM
  ibrav = 0, nat = 4, ntyp = 3
/
ATOMIC_SPECIES
Pm 145.00 Pm.upf
Pr 140.91 Pr.upf
Te 127.60 Te.upf
CELL_PARAMETERS angstrom
2.0093 1.1601 9.9862
-2.0093 1.1601 9.9862
0.0000 -2.3201 9.9862
ATOMIC_POSITIONS crystal
Pm 0.0000 0.0000 0.0000
Pm 0.1928 0.1928 0.1928
Pr 0.7635 0.7635 0.7635
Te 0.5963 0.5963 0.5963
```

=====

iii:
Density functional theory data (PBE-GGA) for a relaxed Pm2PrTe crystal. Values from VASP.

Results
**Theoretical density**: 7.30 Mg/m³
**Symmetry**: P4/mmm, No. 123
**Magnetization**: 0.00 Bohr magnetons per cell

Geometry as Quantum ESPRESSO input:
```
&SYSTEM
  ibrav = 0, nat = 4, ntyp = 3
/
ATOMIC_SPECIES
Pm 145.00 Pm.upf
Pr 140.91 Pr.upf
Te 127.60 Te.upf
CELL_PARAMETERS angstrom
3.9707 0.0000 0.0000
0.0000 3.9707 0.0000
0.0000 0.0000 8.0601
ATOMIC_POSITIONS crystal
Pm 0.0000 0.0000 0.2175
Pm 0.0000 0.0000 0.7825
Pr 0.5000 0.5000 0.5000
Te 0.5000 0.5000 0.0000
```

=====

Which of them is the least stable? Correct choice: i.

=====

i:
Density functional theory data (PBE-GGA) for a relaxed Pm2PrTe crystal. Values from VASP.

Results
**Theoretical density**: 6.68 Mg/m³
**Symmetry**: R-3m, No. 166
**Magnetization**: 0.00 Bohr magnetons per cell

Geometry as Quantum ESPRESSO input:
```
&SYSTEM
  ibrav = 0, nat = 4, ntyp = 3
/
ATOMIC_SPECIES
Pm 145.00 Pm.upf
Pr 140.91 Pr.upf
Te 127.60 Te.upf
CELL_PARAMETERS angstrom
1.9851 1.1461 10.1679
-1.9851 1.1461 10.1679
0.0000 -2.2922 10.1679
ATOMIC_POSITIONS crystal
Pm 0.2372 0.2372 0.2372
Pm 0.7628 0.7628 0.7628
Pr 0.0000 0.0000 0.0000
Te 0.5000 0.5000 0.5000
```

=====

ii:
Density functional theory data (PBE-GGA) for a relaxed Pm2PrTe crystal. Values from VASP.

Results
**Theoretical density**: 7.21 Mg/m³
**Symmetry**: Pnma, No. 62
**Magnetization**: 0.00 Bohr magnetons per cell

Geometry as Quantum ESPRESSO input:
```
&SYSTEM
  ibrav = 0, nat = 16, ntyp = 3
/
ATOMIC_SPECIES
Pm 145.00 Pm.upf
Pr 140.91 Pr.upf
Te 127.60 Te.upf
CELL_PARAMETERS angstrom
7.8743 0.0000 0.0000
0.0000 10.0659 0.0000
0.0000 0.0000 6.4917
ATOMIC_POSITIONS crystal
Pm 0.1958 0.0372 0.1236
Pm 0.1958 0.4628 0.1236
Pm 0.3042 0.5372 0.6236
Pm 0.3042 0.9628 0.6236
Pm 0.6958 0.0372 0.3764
Pm 0.6958 0.4628 0.3764
Pm 0.8042 0.5372 0.8764
Pm 0.8042 0.9628 0.8764
Pr 0.0179 0.2500 0.6266
Pr 0.4821 0.7500 0.1266
Pr 0.5179 0.2500 0.8734
Pr 0.9821 0.7500 0.3734
Te 0.1071 0.7500 0.8992
Te 0.3929 0.2500 0.3992
Te 0.6071 0.7500 0.6008
Te 0.8929 0.2500 0.1008
```

=====

Which of them is the least stable? Correct choice: i.

=====

i:
Density functional theory data (PBE-GGA) for a relaxed PmPr2Te crystal. Values from VASP.

Results
**Theoretical density**: 6.45 Mg/m³
**Symmetry**: P-1, No. 2
**Magnetization**: 0.00 Bohr magnetons per cell

Geometry as Quantum ESPRESSO input:
```
&SYSTEM
  ibrav = 0, nat = 8, ntyp = 3
/
ATOMIC_SPECIES
Pm 145.00 Pm.upf
Pr 140.91 Pr.upf
Te 127.60 Te.upf
CELL_PARAMETERS angstrom
3.9852 0.0000 0.0000
0.0270 7.3534 0.0000
0.0004 2.5426 9.7466
ATOMIC_POSITIONS crystal
Pm 0.0035 0.2710 0.0004
Pm 0.9965 0.7290 0.9996
Pr 0.0006 0.8938 0.2907
Pr 0.4991 0.6000 0.7243
Pr 0.5009 0.4000 0.2757
Pr 0.9994 0.1062 0.7093
Te 0.0000 0.5000 0.5000
Te 0.5000 0.0000 0.5000
```

=====

ii:
Density functional theory data (PBE-GGA) for a relaxed PmPr2Te crystal. Values from VASP.

Results
**Theoretical density**: 6.48 Mg/m³
**Symmetry**: R-3m, No. 166
**Magnetization**: 0.00 Bohr magnetons per cell

Geometry as Quantum ESPRESSO input:
```
&SYSTEM
  ibrav = 0, nat = 4, ntyp = 3
/
ATOMIC_SPECIES
Pm 145.00 Pm.upf
Pr 140.91 Pr.upf
Te 127.60 Te.upf
CELL_PARAMETERS angstrom
2.0022 1.1560 10.2337
-2.0022 1.1560 10.2337
0.0000 -2.3120 10.2337
ATOMIC_POSITIONS crystal
Pm 0.0000 0.0000 0.0000
Pr 0.2382 0.2382 0.2382
Pr 0.7618 0.7618 0.7618
Te 0.5000 0.5000 0.5000
```

=====

Which of them is the least stable? Correct choice: i.